[1]
Here is an optimized crystal structure of AcUSN2 from Alexandria via LeMat-Bulk. Energies are from PBE.

The calculation puts the density of states at the Fermi level at 3.7 states/eV/cell. The formation energy without anion corrections comes out at -1595 meV/atom. As for the crystal system: tetragonal. Its final energy is -44.15 eV per formula unit.

abc: 4.2523 4.2523 5.8391
angles: 90.00 90.00 90.00
With the nearest neighbours (Å) after each atom.
Space group P4mm (No. 99)
Inequivalent atoms, fractional coordinates:
Ac: 0.0000 0.0000 0.0000 x1  4 N 2.64
U: 0.5000 0.5000 0.3550 x1  4 N 2.19
S: 0.5000 0.5000 0.8314 x1  2 U 2.78-3.06
N: 0.0000 0.5000 0.2686 x2  2 U 2.19

---

[2]
Here is an optimized crystal structure of Ac2ZrS2N2 from Alexandria via LeMat-Bulk. Energies are from PBE.

The formation energy without anion corrections comes out at -1823 meV/atom. As for the crystal system: tetragonal. Its final energy is -54.43 eV per formula unit.

abc: 4.3610 4.3610 15.1842
angles: 90.00 90.00 90.00
With the nearest neighbours (Å) after each atom.
Space group I4/mmm (No. 139)
Inequivalent atoms, fractional coordinates:
Ac: 0.0000 0.0000 0.1202 x4  4 N 2.84, 1 S 3.10
Zr: 0.0000 0.0000 0.5000 x2  4 N 2.18
S: 0.0000 0.0000 0.3246 x4  1 Zr 2.66
N: 0.0000 0.5000 0.0000 x4  2 Zr 2.18

---

[3]
Here is an optimized crystal structure of Ac4SbN from Alexandria via LeMat-Bulk. Energies are from PBE.

The calculation puts the density of states at the Fermi level at 10.3 states/eV/cell. The formation energy without anion corrections comes out at -628 meV/atom. As for the crystal system: triclinic. Its final energy is -32.65 eV per formula unit.

abc: 6.7080 7.9439 8.5340
angles: 73.66 66.91 89.94
With the nearest neighbours (Å) after each atom.
Space group P-1 (No. 2)
Inequivalent atoms, fractional coordinates:
Ac: 0.0194 0.4550 0.2978 x2  1 N 2.52
Ac: 0.1838 0.9539 0.2987 x2  1 N 2.52
Ac: 0.2495 0.8254 0.8690 x2  2 N 2.77-2.89
Ac: 0.3803 0.3247 0.8702 x2  2 N 2.76-2.88
Sb: 0.3651 0.2497 0.5004 x2  8 Ac 3.41-3.76
N: 0.0000 0.5000 0.0000 x1  4 Ac 2.52-2.77
N: 0.5000 0.0000 0.0000 x1  4 Ac 2.52-2.76

---

[4]
Here is an optimized crystal structure of Ac4Sb3N2 from Alexandria via LeMat-Bulk. Energies are from PBE.

The calculation puts the density of states at the Fermi level at 11.3 states/eV/cell. The formation energy without anion corrections comes out at -1016 meV/atom. As for the crystal system: monoclinic. Its final energy is -54.59 eV per formula unit.

abc: 15.3529 4.4610 11.0792
angles: 90.00 126.79 90.00
With the nearest neighbours (Å) after each atom.
Space group C2/m (No. 12)
Inequivalent atoms, fractional coordinates:
Ac: 0.1203 0.0000 0.3902 x4  3 N 2.49-2.61
Ac: 0.1964 0.5000 0.1603 x4  1 N 2.27
Sb: 0.0000 0.0000 0.0000 x2  6 Ac 3.29-3.54
Sb: 0.0842 0.5000 0.6560 x4  1 Sb 2.82
N: 0.1957 0.5000 0.3641 x4  2 Ac 2.27-2.49